Compound: LiHoCdSe3
Source: OQMD via LeMat-Bulk
Functional: PBE
Structure: relaxed

The structure belongs to space group Pnma (No. 62); the cell edges are 13.758, 4.078 and 11.514 Å and the angles 90.00°, 90.00° and 90.00°. The distinct sites, in fractional coordinates, are Li at (0.210, 0.250, 0.202), Ho at (0.039, 0.750, 0.855), Cd at (0.046, 0.250, 0.602), Se at (0.079, 0.250, 0.369), Se at (0.099, 0.750, 0.086) and Se at (0.172, 0.250, 0.774).

The calculated volume is 646 Å³ per cell. As for the energy: -4.226 eV/atom.

=====

Compound: HfZrSnB
Source: OQMD via LeMat-Bulk
Functional: PBE
Structure: relaxed

The structure belongs to space group P-6m2 (No. 187); the cell edges are 3.4585, 3.4585 and 14.7880 Å and the angles 90.00°, 90.00° and 120.00°. The distinct sites, in fractional coordinates, are Hf at (0.0000, 0.0000, 0.1624), Zr at (0.6667, 0.3333, 0.3348), Sn at (0.0000, 0.0000, 0.5000), Sn at (0.6667, 0.3333, 0.0000) and B at (0.3333, 0.6667, 0.2468).

The calculated volume is 153 Å³ per cell. As for the energy: -7.894 eV/atom.

=====

Compound: GdTmZr2Sb2
Source: OQMD via LeMat-Bulk
Functional: PBE
Structure: relaxed

The structure belongs to space group I4mm (No. 107); the cell edges are 4.269, 4.269 and 16.606 Å and the angles 90.00°, 90.00° and 90.00°. The distinct sites, in fractional coordinates, are Gd at (0.000, 0.000, 0.000), Tm at (0.000, 0.000, 0.354), Zr at (0.000, 0.500, 0.178), Sb at (0.000, 0.000, 0.545) and Sb at (0.000, 0.000, 0.811).

The calculated volume is 303 Å³ per cell. As for the energy: -6.534 eV/atom.

=====

Compound: Dy2ZrS5
Source: OQMD via LeMat-Bulk
Functional: PBE
Structure: relaxed

The structure belongs to space group Pnma (No. 62); the cell edges are 11.572, 7.748 and 7.252 Å and the angles 90.00°, 90.00° and 90.00°. The distinct sites, in fractional coordinates, are Dy at (0.179, 0.003, 0.021), Zr at (0.007, 0.750, 0.579), S at (0.003, 0.750, 0.951), S at (0.095, 0.038, 0.661), S at (0.182, 0.750, 0.331) and S at (0.209, 0.250, 0.308).

The calculated volume is 650 Å³ per cell. As for the energy: -6.673 eV/atom.

=====

Compound: PmScTe
Source: OQMD via LeMat-Bulk
Functional: PBE
Structure: relaxed

The structure belongs to space group F-43m (No. 216); the cell edges are 7.057, 7.057 and 7.057 Å and the angles 90.00°, 90.00° and 90.00°. The distinct sites, in fractional coordinates, are Pm at (0.000, 0.000, 0.000), Sc at (0.000, 0.000, 0.500) and Te at (0.250, 0.250, 0.250).

The calculated volume is 351 Å³ per cell. As for the energy: -5.244 eV/atom.

=====

Compound: RbHoO3
Source: OQMD via LeMat-Bulk
Functional: PBE
Structure: relaxed

The structure belongs to space group P4mm (No. 99); the cell edges are 3.857, 3.857 and 5.668 Å and the angles 90.00°, 90.00° and 90.00°. The distinct sites, in fractional coordinates, are Rb at (0.000, 0.000, 0.000), Ho at (0.500, 0.500, 0.462), O at (0.000, 0.000, 0.590) and O at (0.000, 0.500, 0.285).

The calculated volume is 84 Å³ per cell. As for the energy: -5.393 eV/atom.

=====

Compound: ErLuNb2Si2
Source: OQMD via LeMat-Bulk
Functional: PBE
Structure: relaxed

The structure belongs to space group P4mm (No. 99); the cell edges are 3.985, 3.985 and 7.636 Å and the angles 90.00°, 90.00° and 90.00°. The distinct sites, in fractional coordinates, are Er at (0.000, 0.000, 0.000), Lu at (0.500, 0.500, 0.293), Nb at (0.000, 0.500, 0.644), Si at (0.000, 0.000, 0.399) and Si at (0.500, 0.500, 0.890).

The calculated volume is 121 Å³ per cell. As for the energy: -7.321 eV/atom.

=====

Compound: BeCuSnW
Source: OQMD via LeMat-Bulk
Functional: PBE
Structure: relaxed

The structure belongs to space group F-43m (No. 216); the cell edges are 6.233, 6.233 and 6.233 Å and the angles 90.00°, 90.00° and 90.00°. The distinct sites, in fractional coordinates, are Be at (0.000, 0.000, 0.000), Cu at (0.250, 0.250, 0.750), Sn at (0.000, 0.000, 0.500) and W at (0.250, 0.250, 0.250).

The calculated volume is 242 Å³ per cell. As for the energy: -5.412 eV/atom.

=====

Compound: BaLiHoTe3
Source: OQMD via LeMat-Bulk
Functional: PBE
Structure: relaxed

The structure belongs to space group Cmcm (No. 63); the cell edges are 4.532, 14.976 and 11.445 Å and the angles 90.00°, 90.00° and 90.00°. The distinct sites, in fractional coordinates, are Ba at (0.000, 0.250, 0.250), Li at (0.000, 0.029, 0.750), Ho at (0.000, 0.500, 0.000), Te at (0.000, 0.136, 0.555) and Te at (0.000, 0.427, 0.750).

The calculated volume is 777 Å³ per cell. As for the energy: -4.441 eV/atom.